Entry 1:
A plane-wave DFT calculation with PBE was carried out for a relaxed structure of Y4BI5.

Cell: 10.9390 10.9390 8.6104 Å, 90.34 90.34 21.39°
Last column: nearest neighbours and their distance in Å.
Fractional coordinates of all 10 atoms:
Y  0.0000  0.0000  0.1969  2 B 2.65
Y  0.0000  0.0000  0.8031  2 B 2.65
Y  0.3845  0.3845  0.9982  1 B 2.48
Y  0.6155  0.6155  0.0018  1 B 2.48
B  0.5000  0.5000  0.0000  6 Y 2.48-2.65
I  0.1485  0.1485  0.2577  3 Y 3.08-3.23
I  0.1487  0.1487  0.7470  3 Y 3.08-3.23
I  0.5000  0.5000  0.5000  4 Y 3.31
I  0.8513  0.8513  0.2530  3 Y 3.08-3.23
I  0.8515  0.8515  0.7423  3 Y 3.08-3.23

Summary:
Energy relative to the elements, uncorrected, meV/atom: -1085
Calculated total energy, eV/atom: -5.113
DOS(E_F), states/eV/atom: 0.557
Size of the total moment, μB per cell: 0.00

***

Entry 2:
A plane-wave DFT calculation with PBE was carried out for a relaxed structure of YBI.

Cell: 11.8493 11.8493 3.5006 Å, 90.00 90.00 160.65°
Last column: nearest neighbours and their distance in Å.
Fractional coordinates of all 6 atoms:
Y  0.0639  0.9361  0.7500  2 B 2.62
Y  0.9361  0.0639  0.2500  2 B 2.62
B  0.4909  0.5091  0.7500  2 B 1.80
B  0.5091  0.4909  0.2500  2 B 1.80
I  0.1667  0.8333  0.2500  2 Y 2.97
I  0.8333  0.1667  0.7500  2 Y 2.97

Summary:
Energy relative to the elements, uncorrected, meV/atom: -644
Calculated total energy, eV/atom: -5.541
DOS(E_F), states/eV/atom: 0.355
Size of the total moment, μB per cell: 0.00

***

Q: Which of these has the highest energy relative to the elements, uncorrected?
A: YBI